No. 1
# TbGdGe2Au2 (PBE, optimized geometry)
data_TbGdGe2Au2
_symmetry_space_group_name_H-M 'P 3 m 1'
_symmetry_Int_Tables_number 156
_cell_length_a 4.4901
_cell_length_b 4.4901
_cell_length_c 7.3767
_cell_angle_alpha 90.00
_cell_angle_beta 90.00
_cell_angle_gamma 120.00
loop_
_symmetry_equiv_pos_as_xyz
'x,y,z'
'-y,x-y,z'
'-x+y,-x,z'
'-y,-x,z'
'-x+y,y,z'
'x,x-y,z'
loop_
_atom_site_label
_atom_site_fract_x
_atom_site_fract_y
_atom_site_fract_z
Tb1 0.0000 0.0000 0.0000
Gd1 0.0000 0.0000 0.5003
Ge1 0.3333 0.6667 0.2081
Ge2 0.6667 0.3333 0.7099
Au1 0.3333 0.6667 0.7900
Au2 0.6667 0.3333 0.2854
# **DFT total energy**: -5.02 eV per atom



No. 2
# Sc2MoPd (PBE, optimized geometry)
data_Sc2MoPd
_symmetry_space_group_name_H-M 'F -4 3 m'
_symmetry_Int_Tables_number 216
_symmetry_space_group_name_Hall 'F -4 2 3'
_cell_length_a 6.588
_cell_length_b 6.588
_cell_length_c 6.588
_cell_angle_alpha 90.00
_cell_angle_beta 90.00
_cell_angle_gamma 90.00
loop_
_atom_site_label
_atom_site_fract_x
_atom_site_fract_y
_atom_site_fract_z
Sc1 0.000 0.000 0.000
Sc2 0.250 0.250 0.250
Mo1 0.250 0.250 0.750
Pd1 0.000 0.000 0.500
# **Calculated formation energy**: 0.0567 eV per atom



No. 3
# LiScCu4Sn2 (PBE, optimized geometry)
data_LiScCu4Sn2
_symmetry_space_group_name_H-M 'P 4/m m m'
_symmetry_Int_Tables_number 123
_symmetry_space_group_name_Hall '-P 4 2'
_cell_length_a 4.445
_cell_length_b 4.445
_cell_length_c 6.408
_cell_angle_alpha 90.00
_cell_angle_beta 90.00
_cell_angle_gamma 90.00
loop_
_atom_site_label
_atom_site_fract_x
_atom_site_fract_y
_atom_site_fract_z
Li1 0.000 0.000 0.000
Sc1 0.500 0.500 0.500
Cu1 0.000 0.500 0.235
Sn1 0.000 0.000 0.500
Sn2 0.500 0.500 0.000
# **DFT total energy**: -4.15 eV per atom



No. 4
# NaSnHg (PBE, optimized geometry)
data_NaSnHg
_symmetry_space_group_name_H-M 'F -4 3 m'
_symmetry_Int_Tables_number 216
_symmetry_space_group_name_Hall 'F -4 2 3'
_cell_length_a 6.948
_cell_length_b 6.948
_cell_length_c 6.948
_cell_angle_alpha 90.00
_cell_angle_beta 90.00
_cell_angle_gamma 90.00
loop_
_atom_site_label
_atom_site_fract_x
_atom_site_fract_y
_atom_site_fract_z
Na1 0.000 0.000 0.000
Sn1 0.000 0.000 0.500
Hg1 0.250 0.250 0.250
# **Energy relative to the lowest polymorph listed for this composition**: 0 meV per atom



No. 5
# BeGaCuMo (PBE, optimized geometry)
data_BeGaCuMo
_symmetry_space_group_name_H-M 'F -4 3 m'
_symmetry_Int_Tables_number 216
_symmetry_space_group_name_Hall 'F -4 2 3'
_cell_length_a 5.914
_cell_length_b 5.914
_cell_length_c 5.914
_cell_angle_alpha 90.00
_cell_angle_beta 90.00
_cell_angle_gamma 90.00
loop_
_atom_site_label
_atom_site_fract_x
_atom_site_fract_y
_atom_site_fract_z
Be1 0.000 0.000 0.000
Ga1 0.250 0.250 0.250
Cu1 0.000 0.000 0.500
Mo1 0.250 0.250 0.750
# **Energy relative to the lowest polymorph listed for this composition**: 93 meV per atom



No. 6
# PmTeNO (PBE, optimized geometry)
data_PmTeNO
_symmetry_space_group_name_H-M 'P c a 21'
_symmetry_Int_Tables_number 29
_cell_length_a 6.420
_cell_length_b 6.900
_cell_length_c 6.094
_cell_angle_alpha 90.00
_cell_angle_beta 90.00
_cell_angle_gamma 90.00
loop_
_symmetry_equiv_pos_as_xyz
'x,y,z'
'-x,-y,z+1/2'
'-x+1/2,y,z+1/2'
'x+1/2,-y,z'
loop_
_atom_site_label
_atom_site_fract_x
_atom_site_fract_y
_atom_site_fract_z
Pm1 0.093 0.241 0.000
Te1 0.065 0.724 0.978
N1 0.110 0.455 0.663
O1 0.089 0.051 0.651
# **Energy relative to the lowest polymorph listed for this composition**: 380 meV per atom